The following is a PBE+U calculation of a relaxed NaCrOs2O8 crystal, from Alexandria.

a b c (Å): 4.7386 4.7386 6.1717
angles (deg): 90.00 90.00 92.49
With the nearest neighbours (Å) after each atom.
Fractional positions:
1 Na 0.0000 0.0000 0.0000  6 O 2.26-2.27
2 Cr 0.0000 0.0000 0.5000  6 O 1.97-2.04
3 Os 0.5000 0.5000 0.2561  6 O 1.84-2.05
4 Os 0.5000 0.5000 0.7439  6 O 1.84-2.05
5 O 0.2202 0.2202 0.2825  1 Os 1.84, 1 Cr 1.97
6 O 0.2202 0.2202 0.7175  1 Os 1.84, 1 Cr 1.97
7 O 0.2977 0.7023 0.5000  1 Cr 2.04, 2 Os 2.05
8 O 0.3313 0.6687 0.0000  2 Os 1.96
9 O 0.6687 0.3313 0.0000  2 Os 1.96
10 O 0.7023 0.2977 0.5000  1 Cr 2.04, 2 Os 2.05
11 O 0.7798 0.7798 0.2825  1 Os 1.84, 1 Cr 1.97
12 O 0.7798 0.7798 0.7175  1 Os 1.84, 1 Cr 1.97

Electronic total energy, eV per atom: -7.156
DOS(E_F), states/eV/cell: 4.602
Symmetry: Cmmm, No. 65
ρ, g/cm³: 7.0